No. 1
# Na2MgZnSe

Na2MgZnSe after structural relaxation (PBE, the Alexandria database).

- Formation energy (no corrections): -0.235 eV per atom

extended XYZ file:
```
5
Lattice="5.480 0.000 0.000 0.000 5.242 0.000 0.000 0.000 5.480" Properties=species:S:1:pos:R:3 pbc="T T T"
Na 0.000 0.000 2.740
Na 2.740 0.000 0.000
Zn 2.740 2.621 2.740
Mg 0.000 2.621 0.000
Se 0.000 0.000 0.000
```

No. 2
# SmInAu

SmInAu after structural relaxation (PBE, the Alexandria database).

- Formation enthalpy at 0 K: -0.53 eV per atom

extended XYZ file:
```
3
Lattice="3.535 0.000 0.000 0.000 3.535 0.000 -1.768 -1.768 5.828" Properties=species:S:1:pos:R:3 pbc="T T T"
Au 0.000 0.000 3.248
Sm 1.768 1.768 5.104
In 1.768 1.768 1.555
```

No. 3
# PmScNiRh

PmScNiRh after structural relaxation (PBE, the Alexandria database).

- Formation enthalpy at 0 K: -0.54 eV per atom

extended XYZ file:
```
4
Lattice="4.760 0.000 0.000 2.380 4.122 0.000 2.380 1.374 3.887" Properties=species:S:1:pos:R:3 pbc="T T T"
Sc 4.760 2.748 1.943
Ni 7.140 4.122 2.915
Rh 2.380 1.374 0.972
Pm 0.000 0.000 0.000
```

No. 4
# CaAcTbCd

CaAcTbCd after structural relaxation (PBE, the Alexandria database).

- Energy above the most stable polymorph in this dataset: 0.000 eV/atom
- Formation enthalpy at 0 K: -0.14 eV per atom

extended XYZ file:
```
4
Lattice="3.773 0.000 0.000 0.000 3.773 0.000 0.000 0.000 9.624" Properties=species:S:1:pos:R:3 pbc="T T T"
Ca 1.887 1.887 7.402
Ac 0.000 0.000 0.875
Tb 1.887 1.887 3.522
Cd 0.000 0.000 5.377
```

no.,DFT total energy (eV/atom),size of the total moment (μB/cell)
1,-2.033,0.000
2,-4.113,0.000
3,-6.598,0.000
4,-3.052,0.000